1.
DFT (PBE) results for an optimized crystal structure of ScAgSn2.

As for the formation energy from the elements: -0.137 eV/atom. As for the energy above the most stable polymorph in this dataset: 210 meV/atom. The size of the total moment is 0.00 μB per cell.

The structure belongs to space group Fm-3m (No. 225); the cell edges are 7.152, 7.152 and 7.152 Å and the angles 90.00°, 90.00° and 90.00°. The distinct sites, in fractional coordinates, are Sc at (0.000, 0.000, 0.000), Ag at (0.000, 0.000, 0.500) and Sn at (0.250, 0.250, 0.250).

2.
DFT (PBE) results for an optimized crystal structure of In2Rh.

As for the formation energy from the elements: -0.180 eV/atom. The size of the total moment is 0.00 μB per cell.

The structure belongs to space group I4/mmm (No. 139); the cell edges are 3.258, 3.258 and 11.257 Å and the angles 90.00°, 90.00° and 90.00°. The distinct sites, in fractional coordinates, are In at (0.000, 0.000, 0.144) and Rh at (0.000, 0.000, 0.500).

3.
DFT (PBE) results for an optimized crystal structure of TiCd3Co.

As for the formation energy from the elements: 1.376 eV/atom. As for the energy above the most stable polymorph in this dataset: 627 meV/atom. The size of the total moment is 4.46 μB per cell.

The structure belongs to space group Pm-3m (No. 221); the cell edges are 5.311, 5.311 and 5.311 Å and the angles 90.00°, 90.00° and 90.00°. The distinct sites, in fractional coordinates, are Ti at (0.000, 0.000, 0.000), Cd at (0.000, 0.000, 0.500) and Co at (0.500, 0.500, 0.500).

4.
DFT (PBE) results for an optimized crystal structure of ThTi5.

As for the formation energy from the elements: 0.123 eV/atom. The size of the total moment is 0.00 μB per cell.

The structure belongs to space group Cmmm (No. 65); the cell edges are 4.258, 12.856 and 4.235 Å and the angles 90.00°, 90.00° and 90.00°. The distinct sites, in fractional coordinates, are Th at (0.000, 0.000, 0.000), Ti at (0.000, 0.175, 0.500), Ti at (0.000, 0.325, 0.000) and Ti at (0.000, 0.500, 0.500).

5.
DFT (PBE) results for an optimized crystal structure of YSc2Fe.

As for the formation energy from the elements: -0.033 eV/atom. As for the energy above the most stable polymorph in this dataset: 15 meV/atom. The size of the total moment is 0.00 μB per cell.

The structure belongs to space group P4/mmm (No. 123); the cell edges are 3.185, 3.185 and 8.523 Å and the angles 90.00°, 90.00° and 90.00°. The distinct sites, in fractional coordinates, are Y at (0.000, 0.000, 0.000), Sc at (0.500, 0.500, 0.326) and Fe at (0.000, 0.000, 0.500).